Record 1
## Sc3Be2Ir5 (PBE)

Data for Sc3Be2Ir5 after structural relaxation.

Properties
* D(E_F): 0.380 states/eV/atom
* spin magnetization: 0.00 μB per cell
* energy relative to the elements: -8.52 eV/f.u.
* E: -7.9272 eV/atom

CIF file:
```
data_Sc3Be2Ir5
_symmetry_space_group_name_H-M 'P 4/m b m'
_symmetry_Int_Tables_number 127
_symmetry_space_group_name_Hall '-P 4 2ab'
_cell_length_a 9.652
_cell_length_b 9.652
_cell_length_c 3.146
_cell_angle_alpha 90.00
_cell_angle_beta 90.00
_cell_angle_gamma 90.00
loop_
_atom_site_label
_atom_site_type_symbol
_atom_site_fract_x
_atom_site_fract_y
_atom_site_fract_z
Sc1 Sc 0.000 0.000 0.000
Sc2 Sc 0.176 0.324 0.000
Be1 Be 0.122 0.622 0.000
Ir1 Ir 0.000 0.500 0.500
Ir2 Ir 0.070 0.784 0.500
```

***

Record 2
## GdGeF (PBE)

Data for GdGeF after structural relaxation.

Properties
* D(E_F): 0.483 states/eV/atom
* spin magnetization: 7.02 μB per cell
* uncorrected formation energy: -5.27 eV per formula unit
* E: -8.6116 eV/atom

CIF file:
```
data_GdGeF
_symmetry_space_group_name_H-M 'P -6 m 2'
_symmetry_Int_Tables_number 187
_symmetry_space_group_name_Hall 'P -6 2'
_cell_length_a 3.9087
_cell_length_b 3.9087
_cell_length_c 4.8313
_cell_angle_alpha 90.00
_cell_angle_beta 90.00
_cell_angle_gamma 120.00
loop_
_atom_site_label
_atom_site_type_symbol
_atom_site_fract_x
_atom_site_fract_y
_atom_site_fract_z
Gd1 Gd 0.0000 0.0000 0.0000
Ge1 Ge 0.6667 0.3333 0.5000
F1 F 0.3333 0.6667 0.0000
```

***

Record 3
## Ca2SnSb3Rh4 (PBE)

Data for Ca2SnSb3Rh4 after structural relaxation.

Properties
* D(E_F): 0.537 states/eV/atom
* spin magnetization: 0.00 μB per cell
* uncorrected formation energy: -6.80 eV per formula unit
* E: -5.6580 eV/atom

CIF file:
```
data_Ca2SnSb3Rh4
_symmetry_space_group_name_H-M 'P -4 m 2'
_symmetry_Int_Tables_number 115
_symmetry_space_group_name_Hall 'P -4 -2'
_cell_length_a 4.417
_cell_length_b 4.417
_cell_length_c 11.034
_cell_angle_alpha 90.00
_cell_angle_beta 90.00
_cell_angle_gamma 90.00
loop_
_atom_site_label
_atom_site_type_symbol
_atom_site_fract_x
_atom_site_fract_y
_atom_site_fract_z
Ca1 Ca 0.000 0.500 0.247
Sn1 Sn 0.000 0.000 0.500
Sb1 Sb 0.000 0.500 0.868
Sb2 Sb 0.500 0.500 0.500
Rh1 Rh 0.000 0.000 0.000
Rh2 Rh 0.000 0.500 0.634
Rh3 Rh 0.500 0.500 0.000
```

***

Record 4
## Ca2RuPb (PBE)

Data for Ca2RuPb after structural relaxation.

Properties
* D(E_F): 0.875 states/eV/atom
* spin magnetization: 0.00 μB per cell
* energy relative to the elements: -0.01 eV/f.u.
* E: -4.2504 eV/atom

CIF file:
```
data_Ca2RuPb
_symmetry_space_group_name_H-M 'C 1 m 1'
_symmetry_Int_Tables_number 8
_symmetry_space_group_name_Hall 'C -2y'
_cell_length_a 11.953
_cell_length_b 3.643
_cell_length_c 5.210
_cell_angle_alpha 90.00
_cell_angle_beta 115.70
_cell_angle_gamma 90.00
loop_
_atom_site_label
_atom_site_type_symbol
_atom_site_fract_x
_atom_site_fract_y
_atom_site_fract_z
Ca1 Ca 0.000 0.000 0.000
Ca2 Ca 0.204 0.000 0.703
Ru1 Ru 0.478 0.000 0.478
Pb1 Pb 0.288 0.500 0.287
```

***

The highest E belongs to which entry? Ca2RuPb

***

Which of these has the highest D(E_F)? Ca2RuPb

***

What is the formula in the second record? GdGeF

***

Look up the spin magnetization of the third one. 0.00 μB per cell